(1)
First-principles (PBE-GGA) data for a geometry-optimized Au2SeCl structure, as listed in Alexandria via LeMat-Bulk.

Lattice parameters (Å, degrees): 7.5660 7.5660 7.5660 29.99 29.99 29.99
Positions (direct):
Au1 0.9979 0.9979 0.9979
Au2 0.2563 0.2563 0.2563
Cl1 0.5261 0.5261 0.5261
Se1 0.7196 0.7196 0.7196

Calculated values
Energy above the most stable polymorph in this dataset: 23.4 meV/atom
Space group: R3m, No. 160
Formation energy (no corrections): 1 meV per atom
Magnetic moment: 0.000 μB per cell
DFT total energy: -11.9 eV for the cell shown

(2)
First-principles (PBE-GGA) data for a geometry-optimized ScCrIn2B structure, as listed in Alexandria via LeMat-Bulk.

Lattice parameters (Å, degrees): 5.5396 4.5263 5.5396 90.00 90.00 90.00
Positions (direct):
Sc1 0.0000 0.0000 0.0000
Cr1 0.0000 0.5000 0.0000
B1 0.5000 0.5000 0.5000
In1 0.0000 0.0000 0.5000
In2 0.5000 0.0000 0.0000

Calculated values
Space group: P4/mmm, No. 123
Magnetic moment: 2.743 μB per cell
DFT total energy: -19.1 eV for the cell shown
Formation enthalpy at 0 K: 1.808 eV per atom

(3)
First-principles (PBE-GGA) data for a geometry-optimized MnCu2Pd2 structure, as listed in Alexandria via LeMat-Bulk.

Lattice parameters (Å, degrees): 4.4189 4.2706 4.8468 112.02 90.00 121.16
Positions (direct):
Mn1 0.0000 0.0000 0.0000
Cu1 0.4060 0.8119 0.2171
Cu2 0.5940 0.1881 0.7829
Pd1 0.2090 0.4181 0.6287
Pd2 0.7910 0.5819 0.3713

Calculated values
Energy above the most stable polymorph in this dataset: 0.0 meV/atom
Space group: C2/m, No. 12
Magnetic moment: 4.375 μB per cell
DFT total energy: -28.2 eV for the cell shown
Formation enthalpy at 0 K: -0.082 eV per atom

(4)
First-principles (PBE-GGA) data for a geometry-optimized CaBRu structure, as listed in Alexandria via LeMat-Bulk.

Lattice parameters (Å, degrees): 3.9277 3.9277 8.4107 103.50 103.50 90.00
Positions (direct):
B1 0.0583 0.0583 0.1165
B2 0.9417 0.9417 0.8835
Ca1 0.3577 0.3577 0.7153
Ca2 0.6423 0.6423 0.2847
Ru1 0.5000 0.0000 0.0000
Ru2 0.0000 0.5000 0.0000

Calculated values
Energy above the most stable polymorph in this dataset: 206.5 meV/atom
Space group: I4/mmm, No. 139
Magnetic moment: 0.000 μB per cell
DFT total energy: -36.5 eV for the cell shown
Formation enthalpy at 0 K: -0.104 eV per atom

(5)
First-principles (PBE-GGA) data for a geometry-optimized LiNi2Ag2 structure, as listed in Alexandria via LeMat-Bulk.

Lattice parameters (Å, degrees): 7.4325 7.4325 2.8123 90.00 90.00 90.00
Positions (direct):
Ni1 0.3880 0.8880 0.0000
Ni2 0.8880 0.6120 0.0000
Ni3 0.6120 0.1120 0.0000
Ni4 0.1120 0.3880 0.0000
Ag1 0.1833 0.6833 0.5000
Ag2 0.6833 0.8167 0.5000
Ag3 0.8167 0.3167 0.5000
Ag4 0.3167 0.1833 0.5000
Li1 0.0000 0.0000 0.0000
Li2 0.5000 0.5000 0.0000

Calculated values
Energy above the most stable polymorph in this dataset: 0.0 meV/atom
Space group: P4/mbm, No. 127
Magnetic moment: 0.008 μB per cell
DFT total energy: -36.4 eV for the cell shown
Formation enthalpy at 0 K: 0.192 eV per atom

(6)
First-principles (PBE-GGA) data for a geometry-optimized Mg2Nb2Se structure, as listed in Alexandria via LeMat-Bulk.

Lattice parameters (Å, degrees): 7.6450 7.6450 3.6512 90.00 90.00 90.00
Positions (direct):
Nb1 0.1100 0.6100 0.5000
Nb2 0.6100 0.8900 0.5000
Nb3 0.8900 0.3900 0.5000
Nb4 0.3900 0.1100 0.5000
Mg1 0.3185 0.8185 0.0000
Mg2 0.8185 0.6815 0.0000
Mg3 0.6815 0.1815 0.0000
Mg4 0.1815 0.3185 0.0000
Se1 0.0000 0.0000 0.0000
Se2 0.5000 0.5000 0.0000

Calculated values
Energy above the most stable polymorph in this dataset: 511.8 meV/atom
Space group: P4/mbm, No. 127
Formation energy (no corrections): 469 meV per atom
Magnetic moment: 0.000 μB per cell
DFT total energy: -48.9 eV for the cell shown

(7)
First-principles (PBE-GGA) data for a geometry-optimized AcMnN2 structure, as listed in Alexandria via LeMat-Bulk.

Lattice parameters (Å, degrees): 5.6592 5.6592 6.5745 90.00 90.00 120.00
Positions (direct):
Ac1 0.3486 0.3486 0.0000
Ac2 0.0000 0.6514 0.6667
Ac3 0.6514 0.0000 0.3333
Mn1 0.4211 0.4211 0.5000
Mn2 0.0000 0.5789 0.1667
Mn3 0.5789 0.0000 0.8333
N1 0.8480 0.2993 0.9714
N2 0.4513 0.1520 0.6380
N3 0.7007 0.5487 0.3047
N4 0.2993 0.8480 0.0286
N5 0.1520 0.4513 0.3620
N6 0.5487 0.7007 0.6953

Calculated values
Energy above the most stable polymorph in this dataset: 0.0 meV/atom
Space group: P3_121, No. 152
Formation energy (no corrections): -788 meV per atom
Magnetic moment: 0.006 μB per cell
DFT total energy: -99.2 eV for the cell shown

(8)
First-principles (PBE-GGA) data for a geometry-optimized ScAg2Bi2 structure, as listed in Alexandria via LeMat-Bulk.

Lattice parameters (Å, degrees): 8.2210 8.2210 3.7254 90.00 90.00 90.00
Positions (direct):
Sc1 0.0000 0.0000 0.0000
Sc2 0.5000 0.5000 0.0000
Bi1 0.3290 0.8290 0.0000
Bi2 0.8290 0.6710 0.0000
Bi3 0.6710 0.1710 0.0000
Bi4 0.1710 0.3290 0.0000
Ag1 0.1279 0.6279 0.5000
Ag2 0.6279 0.8721 0.5000
Ag3 0.8721 0.3721 0.5000
Ag4 0.3721 0.1279 0.5000

Calculated values
Energy above the most stable polymorph in this dataset: 85.8 meV/atom
Space group: P4/mbm, No. 127
Magnetic moment: 0.000 μB per cell
DFT total energy: -39.6 eV for the cell shown
Formation enthalpy at 0 K: 0.003 eV per atom

(9)
First-principles (PBE-GGA) data for a geometry-optimized NaLi structure, as listed in Alexandria via LeMat-Bulk.

Lattice parameters (Å, degrees): 9.8486 16.9508 5.8106 90.00 90.00 90.00
Positions (direct):
Na1 0.3353 0.0000 0.0000
Na2 0.6647 0.0000 0.0000
Na3 0.9147 0.7500 0.2500
Na4 0.5853 0.7500 0.2500
Na5 0.3353 0.5000 0.5000
Na6 0.6647 0.5000 0.5000
Na7 0.9147 0.2500 0.7500
Na8 0.5853 0.2500 0.7500
Na9 0.8353 0.0000 0.5000
Na10 0.1647 0.0000 0.5000
Na11 0.4147 0.7500 0.7500
Na12 0.0853 0.7500 0.7500
Na13 0.8353 0.5000 0.0000
Na14 0.1647 0.5000 0.0000
Na15 0.4147 0.2500 0.2500
Na16 0.0853 0.2500 0.2500
Li1 0.0000 0.9154 0.0000
Li2 0.0000 0.0846 0.0000
Li3 0.2500 0.8346 0.2500
Li4 0.2500 0.6654 0.2500
Li5 0.0000 0.4154 0.5000
Li6 0.0000 0.5846 0.5000
Li7 0.2500 0.3346 0.7500
Li8 0.2500 0.1654 0.7500
Li9 0.5000 0.9154 0.5000
Li10 0.5000 0.0846 0.5000
Li11 0.7500 0.8346 0.7500
Li12 0.7500 0.6654 0.7500
Li13 0.5000 0.4154 0.0000
Li14 0.5000 0.5846 0.0000
Li15 0.7500 0.3346 0.2500
Li16 0.7500 0.1654 0.2500

Calculated values
Energy above the most stable polymorph in this dataset: 74.0 meV/atom
Space group: Fddd, No. 70
Magnetic moment: 0.000 μB per cell
DFT total energy: -48.1 eV for the cell shown
Formation enthalpy at 0 K: 0.114 eV per atom

(10)
First-principles (PBE-GGA) data for a geometry-optimized Mg14SiNi structure, as listed in Alexandria via LeMat-Bulk.

Lattice parameters (Å, degrees): 6.2417 6.2417 9.9280 90.00 90.00 119.79
Positions (direct):
Mg1 0.8348 0.1652 0.0000
Mg2 0.3349 0.6651 0.0000
Mg3 0.3585 0.1448 0.5000
Mg4 0.3309 0.1716 0.0000
Mg5 0.8552 0.6415 0.5000
Mg6 0.8284 0.6691 0.0000
Mg7 0.1547 0.3334 0.2829
Mg8 0.1547 0.3334 0.7171
Mg9 0.6666 0.8453 0.2829
Mg10 0.6666 0.8453 0.7171
Mg11 0.6684 0.3316 0.2544
Mg12 0.6684 0.3316 0.7456
Mg13 0.1661 0.8339 0.2490
Mg14 0.1661 0.8339 0.7510
Si1 0.3260 0.6740 0.5000
Ni1 0.8200 0.1800 0.5000

Calculated values
Space group: Amm2, No. 38
Formation energy (no corrections): 27 meV per atom
Magnetic moment: 0.000 μB per cell
DFT total energy: -33.1 eV for the cell shown